(1)
PBE Ho5ThIn6, relaxed; total energy = -51.66 eV for the cell shown; crystal system = monoclinic; energy of formation = -0.410 eV/atom
1.0
5.158 0.045 -1.462
-1.023 6.550 -3.411
-0.037 0.539 9.195
In Th Ho
6 1 5
direct
0.170 0.912 0.342
0.830 0.088 0.658
0.500 0.732 0.000
0.829 0.570 0.658
0.171 0.430 0.342
0.500 0.268 0.000
0.000 0.000 0.000
0.329 0.330 0.660
0.000 0.500 0.000
0.659 0.159 0.318
0.671 0.670 0.340
0.341 0.841 0.682

---

(2)
PBE TbDyInAg, relaxed; total energy = -16.41 eV for the cell shown; crystal system = cubic; energy of formation = -0.396 eV/atom
1.0
5.263 0.000 0.000
2.632 4.558 0.000
2.632 1.519 4.298
In Ag Dy Tb
1 1 1 1
direct
0.750 0.750 0.750
0.250 0.250 0.250
0.500 0.500 0.500
0.000 0.000 0.000

---

(3)
PBE RbHg10Au2, relaxed; total energy = -11.15 eV for the cell shown; crystal system = orthorhombic; energy of formation = -0.047 eV/atom
1.0
-5.505 -0.804 1.309
-1.402 -9.141 0.966
-1.160 0.094 7.655
Rb Hg Au
1 10 2
direct
0.000 0.000 0.000
0.500 0.000 0.500
0.988 0.370 0.654
0.358 0.630 0.654
0.642 0.370 0.346
0.000 0.000 0.500
0.493 0.234 0.781
0.273 0.234 0.219
0.012 0.630 0.346
0.507 0.766 0.219
0.727 0.766 0.781
0.000 0.500 0.000
0.500 0.500 0.000

---

(4)
PBE FePtRh, relaxed; total energy = -22.09 eV for the cell shown; crystal system = trigonal; energy of formation = -0.080 eV/atom; energy above the most stable polymorph in this dataset = 40 meV/atom
1.0
2.733 0.000 0.000
-1.366 2.367 0.000
0.000 0.000 6.562
Rh Pt Fe
1 1 1
direct
0.333 0.667 0.683
0.667 0.333 0.321
0.000 0.000 0.996

---

(5)
PBE Ti3Mn2Ru, relaxed; total energy = -53.87 eV for the cell shown; crystal system = tetragonal; energy of formation = -0.428 eV/atom
1.0
-0.985 2.680 -0.992
-2.220 -0.057 2.051
5.381 4.177 5.940
Ti Ru Mn
3 1 2
direct
0.000 0.000 0.326
0.000 0.000 0.674
0.000 0.000 0.000
0.500 0.500 0.500
0.500 0.500 0.836
0.500 0.500 0.164

---

(6)
PBE AgSbRh, relaxed; total energy = -58.91 eV for the cell shown; crystal system = triclinic; energy above the most stable polymorph in this dataset = 0 meV/atom
1.0
-3.188 1.292 4.031
2.037 -4.160 5.399
3.983 4.015 4.318
Rh Ag Sb
4 4 4
direct
0.850 0.085 0.835
0.850 0.585 0.335
0.150 0.415 0.665
0.150 0.915 0.165
0.868 0.832 0.582
0.867 0.332 0.082
0.132 0.168 0.418
0.133 0.668 0.918
0.613 0.959 0.209
0.387 0.041 0.791
0.387 0.541 0.291
0.613 0.459 0.709

---

(7)
PBE Tm5ScCu4, relaxed; total energy = -47.27 eV for the cell shown; crystal system = tetragonal; energy of formation = -0.220 eV/atom
1.0
-2.350 2.353 -0.731
-2.419 -2.396 0.064
-2.555 3.062 18.069
Cu Tm Sc
4 5 1
direct
0.000 0.000 0.780
0.000 0.000 0.220
0.000 0.000 0.592
0.000 0.000 0.408
0.500 0.500 0.500
0.500 0.500 0.687
0.500 0.500 0.128
0.500 0.500 0.313
0.500 0.500 0.872
0.000 0.000 0.000

---

(8)
PBE Ba2TcBPt, relaxed; total energy = -24.46 eV for the cell shown; crystal system = tetragonal; energy of formation = 0.493 eV/atom
1.0
-2.901 2.954 -4.313
0.542 -3.093 -2.483
-5.165 -2.383 1.842
Pt Ba Tc B
1 2 1 1
direct
0.000 0.500 0.000
0.000 0.000 0.500
0.500 0.000 0.000
0.500 0.500 0.500
0.000 0.000 0.000

---

Q: What is the formula in the seventh record?
A: Tm5ScCu4